(1)
# NiPAu2

NiPAu2 after structural relaxation (PBE, Alexandria).

The structure in POSCAR format:
```
NiPAu2
1.0
0.000 3.158 3.158
3.158 0.000 3.158
3.158 3.158 0.000
P Ni Au
1 1 2
Cartesian
1.579 1.579 1.579
3.158 3.158 3.158
4.737 4.737 4.737
0.000 0.000 0.000
```

Output
- crystal system = cubic
- formation energy from the elements (eV/atom) = 0.3221
- total magnetization (μB per cell) = 0.00
- total DFT energy (no corrections) (eV per atom) = -4.114

(2)
# NiPAu2

NiPAu2 after structural relaxation (PBE, Alexandria).

The structure in POSCAR format:
```
NiPAu2
1.0
-0.153 -2.317 1.668
2.638 -0.754 -0.804
2.947 4.041 5.883
Au P Ni
2 1 1
Cartesian
2.943 4.036 5.875
2.076 -0.393 2.095
3.251 1.218 4.440
1.583 2.171 3.160
```

Output
- crystal system = tetragonal
- formation energy from the elements (eV/atom) = 0.0134
- total magnetization (μB per cell) = 0.00
- total DFT energy (no corrections) (eV per atom) = -4.423